DFT (PBE) results for a relaxed structure of NaNdMgI6.

Output
* ΔE_f (raw): -1228.4 meV/atom
* uncorrected energy: -3.12 eV/atom
* magnetization: 0.0 Bohr magnetons per cell
* crystal system: trigonal
* symmetry: P-31c
* calculated density: 4.2 g/cm3
* density of states at the Fermi level: 0.0 states/eV per cell

a = 7.745 Å, b = 7.745 Å, c = 14.467 Å
α = 90.00°, β = 90.00°, γ = 120.00°
Fractional coordinates of all 18 atoms:
Na: 0.000 0.000 0.000
Na: 0.000 0.000 0.500
Nd: 0.333 0.667 0.250
Nd: 0.667 0.333 0.750
Mg: 0.333 0.667 0.750
Mg: 0.667 0.333 0.250
I: 0.017 0.363 0.630
I: 0.017 0.655 0.870
I: 0.345 0.363 0.870
I: 0.345 0.983 0.630
I: 0.363 0.017 0.130
I: 0.363 0.345 0.370
I: 0.637 0.655 0.630
I: 0.637 0.983 0.870
I: 0.655 0.017 0.370
I: 0.655 0.637 0.130
I: 0.983 0.345 0.130
I: 0.983 0.637 0.370